Entry from the Alexandria database: a relaxed structure of Cs2BaI2Br2 (PBE).

Unit cell a=6.286 b=6.286 c=19.868 alpha=90.00 beta=90.00 gamma=90.00
Space group I4/mmm (No. 139)
Symmetry-distinct sites (fractional):
Cs1 0.000 0.000 0.137 x4
Ba1 0.000 0.000 0.500 x2
I1 0.000 0.000 0.328 x4
Br1 0.000 0.500 0.000 x4

## Properties
Crystal system: tetragonal
DFT total energy: -22.6 eV per formula unit
Energy relative to the elements, uncorrected: -41.178 kcal/mol of atoms

Entry from the Alexandria database: a relaxed structure of Tb2ErHf3N6 (PBE).

Unit cell a=14.566 b=3.306 c=6.682 alpha=90.00 beta=104.22 gamma=90.00
Space group C2/m (No. 12)
Symmetry-distinct sites (fractional):
Tb1 0.167 0.000 0.333 x4
Er1 0.000 0.500 0.000 x2
Hf1 0.000 0.500 0.500 x2
Hf2 0.166 0.000 0.833 x4
N1 0.006 0.000 0.740 x4
N2 0.160 0.500 0.599 x4
N3 0.171 0.500 0.067 x4

## Properties
Crystal system: monoclinic
DFT total energy: -115.1 eV per formula unit
Energy relative to the elements, uncorrected: -41.279 kcal/mol of atoms

Entry from the Alexandria database: a relaxed structure of BP3Se (PBE).

Unit cell a=4.180 b=4.180 c=4.180 alpha=90.00 beta=90.00 gamma=90.00
Space group Pm-3m (No. 221)
Symmetry-distinct sites (fractional):
B1 0.000 0.000 0.000 x1
P1 0.000 0.000 0.500 x3
Se1 0.500 0.500 0.500 x1

## Properties
Crystal system: cubic
Energy above the most stable polymorph in this dataset: 0.0 kJ/mol of formula units
DFT total energy: -21.9 eV per formula unit
Energy relative to the elements, uncorrected: 20.696 kcal/mol of atoms

Entry from the Alexandria database: a relaxed structure of U5H2S5 (PBE).

Unit cell a=12.834 b=3.655 c=10.359 alpha=90.00 beta=113.11 gamma=90.00
Space group C2/m (No. 12)
Symmetry-distinct sites (fractional):
U1 0.000 0.000 0.000 x2
U2 0.100 0.000 0.392 x4
U3 0.172 0.500 0.782 x4
H1 0.063 0.000 0.807 x4
S1 0.000 0.500 0.500 x2
S2 0.163 0.500 0.045 x4
S3 0.238 0.500 0.348 x4

## Properties
Crystal system: monoclinic
DFT total energy: -95.3 eV per formula unit

Entry from the Alexandria database: a relaxed structure of La2TbRh (PBE).

Unit cell a=3.8116 b=3.8116 c=31.7556 alpha=90.00 beta=90.00 gamma=120.00
Space group R-3m (No. 166, hexagonal axes)
Symmetry-distinct sites (fractional):
La1 0.0000 0.0000 0.1102 x6
Tb1 0.0000 0.0000 0.0000 x3
Rh1 0.0000 0.0000 0.5000 x3

## Properties
Crystal system: trigonal
Energy of formation: -51 kJ/mol of formula units
Energy above the most stable polymorph in this dataset: 125.4 kJ/mol of formula units
DFT total energy: -22.4 eV per formula unit

Entry from the Alexandria database: a relaxed structure of BaIr2Au (PBE).

Unit cell a=3.084 b=5.138 c=5.162 alpha=90.00 beta=90.00 gamma=90.00
Space group Pmmm (No. 47)
Symmetry-distinct sites (fractional):
Ba1 0.000 0.000 0.000 x1
Ir1 0.000 0.500 0.500 x1
Ir2 0.500 0.500 0.000 x1
Au1 0.500 0.000 0.500 x1

## Properties
Crystal system: orthorhombic
Energy of formation: 238 kJ/mol of formula units
Energy above the most stable polymorph in this dataset: 292.9 kJ/mol of formula units
DFT total energy: -20.5 eV per formula unit

Q: Look up the DFT total energy of the fourth one.
A: -95.3 eV per formula unit